First-principles (PBE) data for SbTeMoI2 after structural relaxation, as listed in Alexandria.

```
SbTeMoI2
1.0
-4.524 -0.931 3.611
-0.922 -5.222 -2.501
3.768 -2.605 4.049
I Sb Mo Te
2 1 1 1
direct
0.000 0.500 0.000
0.500 0.000 0.000
0.000 0.000 0.500
0.500 0.500 0.500
0.000 0.000 0.000
```

First-principles (PBE) data for Sb2TeMoI after structural relaxation, as listed in Alexandria.

```
Sb2TeMoI
1.0
5.785 0.000 0.000
0.000 5.785 0.000
0.000 0.000 5.646
I Sb Mo Te
1 2 1 1
direct
0.000 0.000 0.000
0.000 0.500 0.000
0.500 0.000 0.000
0.500 0.500 0.500
0.000 0.000 0.500
```

First-principles (PBE) data for Sb2TeMoI after structural relaxation, as listed in Alexandria.

```
Sb2TeMoI
1.0
-3.094 4.707 -1.443
-2.277 -2.879 -4.509
-4.341 -1.824 3.357
I Sb Mo Te
1 2 1 1
direct
0.000 0.000 0.500
0.000 0.500 0.000
0.500 0.000 0.000
0.500 0.500 0.500
0.000 0.000 0.000
```

First-principles (PBE) data for SbTeMoI2 after structural relaxation, as listed in Alexandria.

```
SbTeMoI2
1.0
-3.592 1.777 3.451
0.500 -4.451 2.813
4.030 2.342 2.990
I Sb Mo Te
2 1 1 1
direct
0.000 0.500 0.000
0.500 0.000 0.000
0.000 0.000 0.500
0.000 0.000 0.000
0.500 0.500 0.500
```

no.,ΔE_f (raw) (eV per atom),total DFT energy (no corrections) (eV/cell),energy above the lowest structure with this stoichiometry (meV/atom)
1,1.2551,-14.92,714.6
2,1.6997,-15.27,1405.5
3,1.4468,-16.53,1152.7
4,0.5405,-18.49,0.0